No. 1
First-principles (PBE-GGA) data for a relaxed SrCo2Au crystal, as listed in Alexandria.

The space group is P4/mmm (No. 123) and the conventional cell measures 4.168, 4.168 and 4.185 Å, with angles of 90.00, 90.00 and 90.00 degrees. The distinct sites, in fractional coordinates, are Sr at (0.000, 0.000, 0.000), Co at (0.000, 0.500, 0.500) and Au at (0.500, 0.500, 0.000).

The formation energy is 0.484 eV per atom.

=====

No. 2
First-principles (PBE-GGA) data for a relaxed SrCo2Au crystal, as listed in Alexandria.

The space group is Fm-3m (No. 225) and the conventional cell measures 6.593, 6.593 and 6.593 Å, with angles of 90.00, 90.00 and 90.00 degrees. The distinct sites, in fractional coordinates, are Sr at (0.000, 0.000, 0.000), Co at (0.250, 0.250, 0.250) and Au at (0.000, 0.000, 0.500).

The formation energy is 0.542 eV per atom.

=====

No. 3
First-principles (PBE-GGA) data for a relaxed Sr3CoAu crystal, as listed in Alexandria.

The space group is Pm-3m (No. 221) and the conventional cell measures 5.538, 5.538 and 5.538 Å, with angles of 90.00, 90.00 and 90.00 degrees. The distinct sites, in fractional coordinates, are Sr at (0.000, 0.000, 0.500), Co at (0.000, 0.000, 0.000) and Au at (0.500, 0.500, 0.500).

The formation energy is 0.128 eV per atom. The value obtained for the energy above the most stable polymorph in this dataset is 0 meV per atom.

=====

No. 4
First-principles (PBE-GGA) data for a relaxed SrCo2Au crystal, as listed in Alexandria.

The space group is Immm (No. 71) and the conventional cell measures 3.640, 4.615 and 9.008 Å, with angles of 90.00, 90.00 and 90.00 degrees. The distinct sites, in fractional coordinates, are Sr at (0.000, 0.000, 0.000), Co at (0.000, 0.500, 0.231) and Au at (0.000, 0.000, 0.500).

The formation energy is 0.505 eV per atom.

=====

No. 5
First-principles (PBE-GGA) data for a relaxed SrCoAu2 crystal, as listed in Alexandria.

The space group is Pmm2 (No. 25) and the conventional cell measures 4.118, 4.670 and 5.106 Å, with angles of 90.00, 90.00 and 90.00 degrees. The distinct sites, in fractional coordinates, are Sr at (0.000, 0.000, 0.000), Co at (0.500, 0.500, 0.289), Au at (0.500, 0.000, 0.483) and Au at (0.500, 0.500, 0.797).

The formation energy is -0.099 eV per atom. The value obtained for the energy above the most stable polymorph in this dataset is 114 meV per atom.

=====

No. 6
First-principles (PBE-GGA) data for a relaxed SrCo2Au crystal, as listed in Alexandria.

The space group is Pmm2 (No. 25) and the conventional cell measures 3.162, 3.224 and 7.233 Å, with angles of 90.00, 90.00 and 90.00 degrees. The distinct sites, in fractional coordinates, are Sr at (0.000, 0.000, 0.000), Co at (0.000, 0.000, 0.447), Co at (0.500, 0.500, 0.320) and Au at (0.500, 0.500, 0.685).

The formation energy is 0.194 eV per atom.

=====

No. 7
First-principles (PBE-GGA) data for a relaxed SrCoAu2 crystal, as listed in Alexandria.

The space group is R3m (No. 160, hexagonal axes) and the conventional cell measures 4.4897, 4.4897 and 15.9895 Å, with angles of 90.00, 90.00 and 120.00 degrees. The distinct sites, in fractional coordinates, are Sr at (0.0000, 0.0000, 0.0000), Co at (0.0000, 0.0000, 0.8116), Au at (0.0000, 0.0000, 0.1989) and Au at (0.0000, 0.0000, 0.4690).

The formation energy is -0.185 eV per atom. The value obtained for the energy above the most stable polymorph in this dataset is 29 meV per atom.

=====

No. 8
First-principles (PBE-GGA) data for a relaxed SrCo2Au2 crystal, as listed in Alexandria.

The space group is P4/mbm (No. 127) and the conventional cell measures 7.728, 7.728 and 3.031 Å, with angles of 90.00, 90.00 and 90.00 degrees. The distinct sites, in fractional coordinates, are Sr at (0.000, 0.000, 0.000), Co at (0.104, 0.396, 0.000) and Au at (0.185, 0.685, 0.500).

The formation energy is 0.089 eV per atom. The value obtained for the energy above the most stable polymorph in this dataset is 75 meV per atom.

=====

No. 9
First-principles (PBE-GGA) data for a relaxed SrCoAu4 crystal, as listed in Alexandria.

The space group is F-43m (No. 216) and the conventional cell measures 7.919, 7.919 and 7.919 Å, with angles of 90.00, 90.00 and 90.00 degrees. The distinct sites, in fractional coordinates, are Sr at (0.000, 0.000, 0.000), Co at (0.250, 0.250, 0.250) and Au at (0.124, 0.124, 0.624).

The formation energy is -0.043 eV per atom.

=====

No. 10
First-principles (PBE-GGA) data for a relaxed SrCoAu crystal, as listed in Alexandria.

The space group is F-43m (No. 216) and the conventional cell measures 6.602, 6.602 and 6.602 Å, with angles of 90.00, 90.00 and 90.00 degrees. The distinct sites, in fractional coordinates, are Sr at (0.000, 0.000, 0.000), Co at (0.250, 0.250, 0.250) and Au at (0.000, 0.000, 0.500).

The formation energy is 0.235 eV per atom.

=====

No. 11
First-principles (PBE-GGA) data for a relaxed SrCoAu2 crystal, as listed in Alexandria.

The space group is Pmmm (No. 47) and the conventional cell measures 3.382, 3.481 and 7.020 Å, with angles of 90.00, 90.00 and 90.00 degrees. The distinct sites, in fractional coordinates, are Sr at (0.000, 0.000, 0.000), Co at (0.000, 0.000, 0.500) and Au at (0.500, 0.500, 0.304).

The formation energy is -0.048 eV per atom. The value obtained for the energy above the most stable polymorph in this dataset is 165 meV per atom.

=====

No. 12
First-principles (PBE-GGA) data for a relaxed SrCoAu crystal, as listed in Alexandria.

The space group is I4mm (No. 107) and the conventional cell measures 3.582, 3.582 and 10.584 Å, with angles of 90.00, 90.00 and 90.00 degrees. The distinct sites, in fractional coordinates, are Sr at (0.000, 0.000, 0.000), Co at (0.000, 0.000, 0.720) and Au at (0.000, 0.000, 0.291).

The formation energy is 0.103 eV per atom.

=====

No. 13
First-principles (PBE-GGA) data for a relaxed SrCoAu2 crystal, as listed in Alexandria.

The space group is F-43m (No. 216) and the conventional cell measures 6.944, 6.944 and 6.944 Å, with angles of 90.00, 90.00 and 90.00 degrees. The distinct sites, in fractional coordinates, are Sr at (0.000, 0.000, 0.000), Co at (0.250, 0.250, 0.750), Au at (0.000, 0.000, 0.500) and Au at (0.250, 0.250, 0.250).

The formation energy is 0.125 eV per atom. The value obtained for the energy above the most stable polymorph in this dataset is 338 meV per atom.

=====

No. 14
First-principles (PBE-GGA) data for a relaxed SrCoAu2 crystal, as listed in Alexandria.

The space group is R-3m (No. 166, hexagonal axes) and the conventional cell measures 4.4816, 4.4816 and 15.9574 Å, with angles of 90.00, 90.00 and 120.00 degrees. The distinct sites, in fractional coordinates, are Sr at (0.0000, 0.0000, 0.0000), Co at (0.0000, 0.0000, 0.5000) and Au at (0.0000, 0.0000, 0.2031).

The formation energy is -0.214 eV per atom. The value obtained for the energy above the most stable polymorph in this dataset is 0 meV per atom.

=====

No. 15
First-principles (PBE-GGA) data for a relaxed SrCo2Au crystal, as listed in Alexandria.

The space group is Imm2 (No. 44) and the conventional cell measures 3.484, 5.063 and 8.898 Å, with angles of 90.00, 90.00 and 90.00 degrees. The distinct sites, in fractional coordinates, are Sr at (0.000, 0.000, 0.000), Co at (0.000, 0.000, 0.532), Co at (0.000, 0.500, 0.193) and Au at (0.000, 0.500, 0.797).

The formation energy is 0.320 eV per atom.

=====

No. 16
First-principles (PBE-GGA) data for a relaxed SrCoAu2 crystal, as listed in Alexandria.

The space group is Cmmm (No. 65) and the conventional cell measures 6.398, 6.422 and 4.041 Å, with angles of 90.00, 90.00 and 90.00 degrees. The distinct sites, in fractional coordinates, are Sr at (0.000, 0.000, 0.000), Co at (0.000, 0.500, 0.000) and Au at (0.250, 0.250, 0.500).

The formation energy is 0.062 eV per atom. The value obtained for the energy above the most stable polymorph in this dataset is 276 meV per atom.

=====

No. 17
First-principles (PBE-GGA) data for a relaxed SrCo2Au crystal, as listed in Alexandria.

The space group is P2/m (No. 10) and the conventional cell measures 4.168, 4.558 and 4.807 Å, with angles of 90.00, 95.96 and 90.00 degrees. The distinct sites, in fractional coordinates, are Sr at (0.000, 0.000, 0.000), Co at (0.254, 0.500, 0.590) and Au at (0.500, 0.000, 0.500).

The formation energy is 0.284 eV per atom.

=====

No. 18
First-principles (PBE-GGA) data for a relaxed SrCo2Au crystal, as listed in Alexandria.

The space group is I-4m2 (No. 119) and the conventional cell measures 4.194, 4.194 and 8.377 Å, with angles of 90.00, 90.00 and 90.00 degrees. The distinct sites, in fractional coordinates, are Sr at (0.000, 0.000, 0.000), Co at (0.000, 0.000, 0.500), Co at (0.000, 0.500, 0.250) and Au at (0.000, 0.500, 0.750).

The formation energy is 0.486 eV per atom.

=====

No. 19
First-principles (PBE-GGA) data for a relaxed SrCo2Au crystal, as listed in Alexandria.

The space group is P4/mmm (No. 123) and the conventional cell measures 3.487, 3.487 and 6.549 Å, with angles of 90.00, 90.00 and 90.00 degrees. The distinct sites, in fractional coordinates, are Sr at (0.000, 0.000, 0.000), Co at (0.500, 0.500, 0.332) and Au at (0.000, 0.000, 0.500).

The formation energy is 0.416 eV per atom.

=====

No. 20
First-principles (PBE-GGA) data for a relaxed SrCoAu crystal, as listed in Alexandria.

The space group is F-43m (No. 216) and the conventional cell measures 7.138, 7.138 and 7.138 Å, with angles of 90.00, 90.00 and 90.00 degrees. The distinct sites, in fractional coordinates, are Sr at (0.000, 0.000, 0.000), Co at (0.250, 0.250, 0.750) and Au at (0.250, 0.250, 0.250).

The formation energy is 0.670 eV per atom.

=====

No. 21
First-principles (PBE-GGA) data for a relaxed SrCoAu crystal, as listed in Alexandria.

The space group is P-6m2 (No. 187) and the conventional cell measures 4.3531, 4.3531 and 4.3863 Å, with angles of 90.00, 90.00 and 120.00 degrees. The distinct sites, in fractional coordinates, are Sr at (0.0000, 0.0000, 0.0000), Co at (0.3333, 0.6667, 0.5000) and Au at (0.6667, 0.3333, 0.5000).

The formation energy is -0.093 eV per atom.

=====

No. 22
First-principles (PBE-GGA) data for a relaxed SrCoAu2 crystal, as listed in Alexandria.

The space group is P4mm (No. 99) and the conventional cell measures 3.592, 3.592 and 6.686 Å, with angles of 90.00, 90.00 and 90.00 degrees. The distinct sites, in fractional coordinates, are Sr at (0.000, 0.000, 0.000), Co at (0.500, 0.500, 0.667), Au at (0.000, 0.000, 0.536) and Au at (0.500, 0.500, 0.277).

The formation energy is 0.034 eV per atom. The value obtained for the energy above the most stable polymorph in this dataset is 248 meV per atom.

=====

No. 23
First-principles (PBE-GGA) data for a relaxed SrCo2Au crystal, as listed in Alexandria.

The space group is C2/m (No. 12) and the conventional cell measures 5.761, 9.349 and 2.985 Å, with angles of 90.00, 115.25 and 90.00 degrees. The distinct sites, in fractional coordinates, are Sr at (0.000, 0.000, 0.000), Co at (0.250, 0.250, 0.500) and Au at (0.000, 0.500, 0.000).

The formation energy is 0.601 eV per atom.

=====

No. 24
First-principles (PBE-GGA) data for a relaxed SrCoAu2 crystal, as listed in Alexandria.

The space group is I-42d (No. 122) and the conventional cell measures 5.117, 5.117 and 16.702 Å, with angles of 90.00, 90.00 and 90.00 degrees. The distinct sites, in fractional coordinates, are Sr at (0.000, 0.000, 0.000), Co at (0.000, 0.000, 0.500) and Au at (0.089, 0.250, 0.625).

The formation energy is 0.028 eV per atom. The value obtained for the energy above the most stable polymorph in this dataset is 241 meV per atom.

=====

No. 25
First-principles (PBE-GGA) data for a relaxed SrCo2Au crystal, as listed in Alexandria.

The space group is C2/m (No. 12) and the conventional cell measures 7.550, 4.350 and 5.781 Å, with angles of 90.00, 115.65 and 90.00 degrees. The distinct sites, in fractional coordinates, are Sr at (0.000, 0.000, 0.000), Co at (0.183, 0.000, 0.547) and Au at (0.000, 0.500, 0.500).

The formation energy is 0.053 eV per atom.

=====

No. 26
First-principles (PBE-GGA) data for a relaxed SrCo2Au crystal, as listed in Alexandria.

The space group is I4_1/amd (No. 141, origin choice 2) and the conventional cell measures 4.524, 4.524 and 18.161 Å, with angles of 90.00, 90.00 and 90.00 degrees. The distinct sites, in fractional coordinates, are Sr at (0.000, 0.250, 0.375), Co at (0.000, 0.000, 0.000) and Au at (0.000, 0.250, 0.875).

The formation energy is 0.246 eV per atom.

=====

No. 27
First-principles (PBE-GGA) data for a relaxed Sr2CoAu2 crystal, as listed in Alexandria.

The space group is P4/mbm (No. 127) and the conventional cell measures 7.575, 7.575 and 4.539 Å, with angles of 90.00, 90.00 and 90.00 degrees. The distinct sites, in fractional coordinates, are Sr at (0.173, 0.327, 0.000), Co at (0.000, 0.000, 0.500) and Au at (0.137, 0.637, 0.500).

The formation energy is -0.207 eV per atom.

=====

No. 28
First-principles (PBE-GGA) data for a relaxed SrCoAu2 crystal, as listed in Alexandria.

The space group is Fm-3m (No. 225) and the conventional cell measures 7.021, 7.021 and 7.021 Å, with angles of 90.00, 90.00 and 90.00 degrees. The distinct sites, in fractional coordinates, are Sr at (0.000, 0.000, 0.000), Co at (0.000, 0.000, 0.500) and Au at (0.250, 0.250, 0.250).

The formation energy is 0.059 eV per atom. The value obtained for the energy above the most stable polymorph in this dataset is 273 meV per atom.

=====

No. 29
First-principles (PBE-GGA) data for a relaxed SrCo2Au2 crystal, as listed in Alexandria.

The space group is I4/mmm (No. 139) and the conventional cell measures 4.460, 4.460 and 9.951 Å, with angles of 90.00, 90.00 and 90.00 degrees. The distinct sites, in fractional coordinates, are Sr at (0.000, 0.000, 0.000), Co at (0.000, 0.000, 0.392) and Au at (0.000, 0.500, 0.250).

The formation energy is 0.014 eV per atom. The value obtained for the energy above the most stable polymorph in this dataset is 0 meV per atom.

=====

No. 30
First-principles (PBE-GGA) data for a relaxed SrCo2Au crystal, as listed in Alexandria.

The space group is Cm (No. 8) and the conventional cell measures 7.259, 4.191 and 6.023 Å, with angles of 90.00, 113.77 and 90.00 degrees. The distinct sites, in fractional coordinates, are Sr at (0.000, 0.000, 0.000), Co at (0.306, 0.500, 0.418), Co at (0.477, 0.000, 0.432) and Au at (0.198, 0.000, 0.594).

The formation energy is -0.015 eV per atom.